# 1
The following is a DFT calculation (PBE) of a relaxed Tb3GaGe3 crystal.

Lattice parameters (Å, degrees): 5.9091 8.5247 8.5247 120.00 90.00 90.00
With the nearest neighbours (Å) after each atom.
Fractional positions:
Tb 0.7500 0.6916 0.6329  5 Ge 2.87-2.96, 1 Ga 3.21
Tb 0.7500 0.3671 0.0587  5 Ge 2.87-2.96, 1 Ga 3.21
Tb 0.7500 0.9413 0.3084  5 Ge 2.87-2.96, 1 Ga 3.21
Tb 0.2500 0.3084 0.3671  5 Ge 2.87-2.96, 1 Ga 3.21
Tb 0.2500 0.6329 0.9413  5 Ge 2.87-2.96, 1 Ga 3.21
Tb 0.2500 0.0587 0.6916  5 Ge 2.87-2.96, 1 Ga 3.21
Ga 0.2500 0.6667 0.3333  3 Ge 2.50
Ga 0.7500 0.3333 0.6667  3 Ge 2.50
Ge 0.2500 0.6967 0.6407  1 Ga 2.50
Ge 0.2500 0.3593 0.0560  1 Ga 2.50
Ge 0.2500 0.9440 0.3033  1 Ga 2.50
Ge 0.7500 0.3033 0.3593  1 Ga 2.50
Ge 0.7500 0.6407 0.9440  1 Ga 2.50
Ge 0.7500 0.0560 0.6967  1 Ga 2.50

Output
- Volume: 26.56 A^3/atom
- DFT formation energy: -4.2 eV/f.u.
- Energy above the lowest structure with this stoichiometry: 166 meV/atom
- Space-group type: P6_3/m (176)
- Total moment: 0.00 μB/f.u.


# 2
The following is a DFT calculation (PBE) of a relaxed TbGa2Tc2Ge crystal.

Lattice parameters (Å, degrees): 4.6052 4.6052 5.5482 90.00 90.00 90.00
With the nearest neighbours (Å) after each atom.
Fractional positions:
Tb 0.0000 0.0000 0.5000  2 Ge 2.77
Ga 0.5000 0.5000 0.7387  2 Ga 2.65-2.90, 4 Tc 2.72
Ga 0.5000 0.5000 0.2613  2 Ga 2.65-2.90, 4 Tc 2.72
Tc 0.5000 0.0000 0.0000  2 Ge 2.30
Tc 0.0000 0.5000 0.0000  2 Ge 2.30
Ge 0.0000 0.0000 0.0000  4 Tc 2.30

Output
- Volume: 19.61 A^3/atom
- DFT formation energy: -0.5 eV/f.u.
- Space-group type: P4/mmm (123)
- Total moment: 0.00 μB/f.u.


# 3
The following is a DFT calculation (PBE) of a relaxed TbYGaGe crystal.

Lattice parameters (Å, degrees): 4.3363 4.0154 5.8327 90.00 111.82 90.00
With the nearest neighbours (Å) after each atom.
Fractional positions:
Tb 0.1397 0.0000 0.2795  4 Ga 3.03, 3 Ge 3.05-3.21
Y 0.8602 0.5000 0.7203  4 Ge 3.03, 3 Ga 3.04-3.21
Ga 0.5791 0.5000 0.1582  2 Ge 2.64
Ge 0.4210 0.0000 0.8420  2 Ga 2.64

Output
- Volume: 23.57 A^3/atom
- DFT formation energy: -3.2 eV/f.u.
- Energy above the lowest structure with this stoichiometry: 0 meV/atom
- Space-group type: Amm2 (38)
- Total moment: 0.00 μB/f.u.